3
Lattice="-1.937 1.937 4.614 1.937 -1.937 4.614 1.937 1.937 -4.614" Properties=species:S:1:pos:R:3 comment="LaPdAu (PBE-GGA, relaxed)" sg=I4mm total_energy_ry_per_atom=-0.38371 pbc="T T T"
La 0.000 0.000 0.000
Pd 0.000 0.000 6.117
Au 0.000 0.000 3.061

3
Lattice="0.000 3.377 3.377 3.377 0.000 3.377 3.377 3.377 0.000" Properties=species:S:1:pos:R:3 comment="LaPdAu (PBE-GGA, relaxed)" sg=F-43m total_energy_ry_per_atom=-0.38248 pbc="T T T"
La 0.000 0.000 0.000
Pd 5.065 5.065 5.065
Au 3.377 3.377 3.377

9
Lattice="5.752 0.000 0.000 -2.876 4.981 0.000 0.000 0.000 6.313" Properties=species:S:1:pos:R:3 comment="La2Pd6Au (PBE-GGA, relaxed)" sg=P-3m1 relative_energy_mev_per_atom=0 pbc="T T T"
La 0.000 3.321 2.005
La 2.876 1.660 4.308
Pd 0.000 1.737 5.226
Pd -1.371 4.113 5.226
Pd 1.504 0.869 1.087
Pd 1.371 4.113 5.226
Pd 4.247 0.869 1.087
Pd 2.876 3.244 1.087
Au 0.000 0.000 3.156

12
Lattice="2.746 1.585 9.053 -2.746 1.585 9.053 0.000 -3.171 9.053" Properties=species:S:1:pos:R:3 comment="La3Pd8Au (PBE-GGA, relaxed)" sg=R3m total_energy_ry_per_atom=-0.42088 pbc="T T T"
La 0.000 0.000 0.000
La 0.000 0.000 3.572
La 0.000 0.000 16.515
Pd 0.000 -1.601 6.164
Pd -1.373 -0.793 10.663
Pd -1.386 0.800 6.164
Pd 0.000 0.000 8.408
Pd 1.373 -0.793 10.664
Pd 0.000 1.585 10.664
Pd 1.386 0.800 6.164
Pd 0.000 0.000 21.994
Au 0.000 0.000 13.298

14
Lattice="5.521 -2.048 0.000 5.521 2.048 0.000 -4.468 0.000 15.407" Properties=species:S:1:pos:R:3 comment="La3Pd3Au (PBE-GGA, relaxed)" sg=C2/m total_energy_ry_per_atom=-0.41268 pbc="T T T"
La -1.491 0.000 5.992
La -2.969 0.000 14.242
La 1.501 0.000 3.436
La 5.074 0.000 11.970
La 9.544 0.000 1.165
La 8.066 0.000 9.415
Pd 1.951 0.000 7.244
Pd 0.082 0.000 14.253
Pd 4.523 0.000 3.441
Pd 2.051 0.000 11.965
Pd 6.493 0.000 1.154
Pd 4.623 0.000 8.163
Au 0.200 0.000 9.689
Au 6.374 0.000 5.717

7
Lattice="5.006 -2.122 0.000 5.006 2.122 0.000 -4.151 0.000 7.427" Properties=species:S:1:pos:R:3 comment="La2Pd3Au2 (PBE-GGA, relaxed)" sg=C2/m relative_energy_mev_per_atom=0 pbc="T T T"
La 0.838 0.000 2.060
La 5.022 0.000 5.367
Pd 2.090 0.000 4.842
Pd 5.006 0.000 0.000
Pd 3.770 0.000 2.586
Au -2.082 0.000 6.571
Au 7.942 0.000 0.857

12
Lattice="5.780 0.000 0.000 1.310 5.704 0.000 0.413 2.407 8.012" Properties=species:S:1:pos:R:3 comment="La4Pd7Au (PBE-GGA, relaxed)" sg=P-1 total_energy_ry_per_atom=-0.41967 pbc="T T T"
La 1.579 3.293 2.356
La 3.000 7.122 6.864
La 4.504 0.989 1.147
La 5.925 4.819 5.655
Pd 0.207 1.204 4.006
Pd 2.332 4.183 7.673
Pd 3.046 5.675 1.891
Pd 2.936 4.624 4.977
Pd 4.567 3.487 3.034
Pd 4.458 2.437 6.121
Pd 5.171 3.929 0.338
Au 3.097 1.204 4.006

12
Lattice="3.119 1.801 7.029 -3.119 1.801 7.029 0.000 -3.601 7.029" Properties=species:S:1:pos:R:3 comment="LaPd2Au3 (PBE-GGA, relaxed)" sg=R-3m total_energy_ry_per_atom=-0.34040 pbc="T T T"
La 0.000 0.000 4.804
La 0.000 0.000 16.282
Pd 0.000 0.000 0.000
Pd -1.559 -0.900 7.029
Pd -1.559 0.900 14.057
Pd 0.000 1.801 7.029
Au -1.510 -0.872 11.808
Au 0.000 -1.744 9.278
Au -1.510 0.872 9.278
Au 1.510 -0.872 11.808
Au 0.000 1.744 11.808
Au 1.510 0.872 9.278

10
Lattice="8.223 0.000 0.000 0.000 8.223 0.000 0.000 0.000 3.839" Properties=species:S:1:pos:R:3 comment="La2Pd2Au (PBE-GGA, relaxed)" sg=P4/mbm relative_energy_mev_per_atom=229 pbc="T T T"
La 1.403 2.708 0.000
La 2.708 6.820 0.000
La 5.515 1.403 0.000
La 6.820 5.515 0.000
Pd 1.014 5.126 1.920
Pd 3.098 1.014 1.920
Pd 5.126 7.209 1.920
Pd 7.209 3.098 1.920
Au 0.000 0.000 0.000
Au 4.112 4.112 0.000

10
Lattice="-2.716 3.934 4.709 2.716 -3.934 4.709 2.716 3.934 -4.709" Properties=species:S:1:pos:R:3 comment="LaPd3Au (PBE-GGA, relaxed)" sg=Imma relative_energy_mev_per_atom=6 pbc="T T T"
La 0.000 1.967 0.062
La 2.716 1.967 4.646
Pd 2.716 1.967 -1.932
Pd 1.358 4.397 -2.354
Pd 1.358 0.463 2.354
Pd -1.358 3.471 2.354
Pd 1.358 3.471 2.354
Pd 0.000 1.967 6.640
Au 2.716 0.000 0.000
Au 0.000 0.000 4.709

17
Lattice="5.487 0.000 0.000 -2.744 4.752 0.000 0.000 0.000 13.628" Properties=species:S:1:pos:R:3 comment="La2Pd9Au6 (PBE-GGA, relaxed)" sg=P6/mmm total_energy_ry_per_atom=-0.35582 pbc="T T T"
La 0.000 0.000 2.872
La 0.000 0.000 10.755
Pd -1.372 2.376 0.000
Pd -1.372 2.376 4.544
Pd -1.372 2.376 9.084
Pd 2.744 0.000 0.000
Pd 2.744 0.000 4.544
Pd 2.744 0.000 9.084
Pd 1.372 2.376 0.000
Pd 1.372 2.376 4.544
Pd 1.372 2.376 9.084
Au 0.000 3.168 2.258
Au 0.000 3.168 6.814
Au 0.000 3.168 11.370
Au 2.744 1.584 2.258
Au 2.744 1.584 6.814
Au 2.744 1.584 11.370

9
Lattice="5.736 -2.197 0.000 5.736 2.197 0.000 -4.263 0.000 8.574" Properties=species:S:1:pos:R:3 comment="La3Pd2Au4 (PBE-GGA, relaxed)" sg=C2/m total_energy_ry_per_atom=-0.37232 pbc="T T T"
La 0.000 0.000 0.000
La 2.143 0.000 3.072
La 5.066 0.000 5.502
Pd 1.372 0.000 6.325
Pd 5.837 0.000 2.248
Au -1.267 0.000 3.162
Au -0.886 0.000 7.869
Au 8.096 0.000 0.705
Au 8.476 0.000 5.412

12
Lattice="4.703 -4.648 0.000 4.703 4.648 0.000 0.000 0.000 5.624" Properties=species:S:1:pos:R:3 comment="LaPd2Au3 (PBE-GGA, relaxed)" sg=Cmcm total_energy_ry_per_atom=-0.34672 pbc="T T T"
La 4.703 3.088 4.218
La 4.703 -3.088 1.406
Pd 2.251 0.000 0.000
Pd 2.251 0.000 2.812
Pd 7.154 0.000 0.000
Pd 7.154 0.000 2.812
Au 3.148 2.404 1.406
Au 6.257 2.404 1.406
Au 4.703 0.037 1.406
Au 4.703 -0.037 4.218
Au 3.148 -2.404 4.218
Au 6.257 -2.404 4.218

11
Lattice="7.686 0.000 0.000 0.000 3.946 0.000 -0.297 0.000 9.012" Properties=species:S:1:pos:R:3 comment="La4Pd2Au5 (PBE-GGA, relaxed)" sg=P2/m total_energy_ry_per_atom=-0.37046 pbc="T T T"
La 1.544 0.000 3.239
La 1.658 0.000 8.077
La 5.732 0.000 0.936
La 5.845 0.000 5.773
Pd 0.505 1.973 1.248
Pd 6.885 1.973 7.764
Au 0.950 1.973 5.615
Au 3.304 1.973 1.386
Au 3.695 1.973 4.506
Au 4.086 1.973 7.626
Au 6.440 1.973 3.397

11
Lattice="6.418 0.000 0.000 0.000 6.418 0.000 0.000 0.000 5.474" Properties=species:S:1:pos:R:3 comment="LaPd8Au2 (PBE-GGA, relaxed)" sg=P4/mmm total_energy_ry_per_atom=-0.35022 pbc="T T T"
La 0.000 0.000 0.000
Pd 1.853 1.853 1.320
Pd 1.853 1.853 4.153
Pd 1.853 4.564 1.320
Pd 1.853 4.564 4.153
Pd 4.564 1.853 1.320
Pd 4.564 1.853 4.153
Pd 4.564 4.564 1.320
Pd 4.564 4.564 4.153
Au 0.000 3.209 2.737
Au 3.209 0.000 2.737

17
Lattice="-4.363 4.363 4.363 4.363 -4.363 4.363 4.363 4.363 -4.363" Properties=species:S:1:pos:R:3 comment="La4Pd12Au (PBE-GGA, relaxed)" sg=Im-3m total_energy_ry_per_atom=-0.42577 pbc="T T T"
La 2.181 2.181 -2.181
La 2.181 -2.181 2.181
La -2.181 2.181 2.181
La 2.181 2.181 2.181
Pd 2.658 0.000 0.000
Pd 6.067 0.000 0.000
Pd 4.363 2.181 0.000
Pd 4.363 0.000 2.181
Pd 0.000 2.658 0.000
Pd 0.000 0.000 2.658
Pd 2.181 4.363 0.000
Pd 2.181 0.000 4.363
Pd 0.000 6.067 0.000
Pd 0.000 0.000 6.067
Pd 0.000 4.363 2.181
Pd 0.000 2.181 4.363
Au 0.000 0.000 0.000

12
Lattice="3.723 -6.431 0.000 3.723 6.431 0.000 -2.471 0.000 7.033" Properties=species:S:1:pos:R:3 comment="La6Pd5Au (PBE-GGA, relaxed)" sg=C2/m total_energy_ry_per_atom=-0.41585 pbc="T T T"
La -0.026 2.200 5.235
La 1.174 0.000 1.770
La -0.026 -2.200 5.235
La 5.001 2.200 1.798
La 3.801 0.000 5.263
La 5.001 -2.200 1.798
Pd -1.236 0.000 3.516
Pd 3.723 4.276 0.000
Pd 2.487 2.093 3.516
Pd 2.487 -2.093 3.516
Pd 3.723 -4.276 0.000
Au 3.723 0.000 0.000

12
Lattice="6.736 0.000 0.000 0.000 5.620 0.000 -2.756 0.000 7.296" Properties=species:S:1:pos:R:3 comment="LaPdAu (PBE-GGA, relaxed)" sg=P2_1/c total_energy_ry_per_atom=-0.38732 pbc="T T T"
La 0.343 0.667 2.754
La -1.035 2.143 6.402
La 5.015 3.478 0.894
La 3.638 4.953 4.542
Pd -0.293 3.607 3.748
Pd 1.085 4.823 0.101
Pd 2.895 0.797 7.195
Pd 4.273 2.013 3.547
Au 2.044 3.275 2.174
Au 0.667 5.155 5.822
Au 3.313 0.465 1.473
Au 1.936 2.345 5.121

10
Lattice="7.388 0.000 0.000 0.000 7.388 0.000 0.000 0.000 3.693" Properties=species:S:1:pos:R:3 comment="LaPd2Au2 (PBE-GGA, relaxed)" sg=P4/mbm relative_energy_mev_per_atom=39 pbc="T T T"
La 0.000 0.000 0.000
La 3.694 3.694 0.000
Pd 0.998 2.696 0.000
Pd 2.696 6.390 0.000
Pd 4.692 0.998 0.000
Pd 6.390 4.692 0.000
Au 1.176 4.870 1.846
Au 2.518 1.176 1.846
Au 4.870 6.212 1.846
Au 6.212 2.518 1.846

12
Lattice="3.862 2.230 6.637 -3.862 2.230 6.637 0.000 -4.460 6.637" Properties=species:S:1:pos:R:3 comment="La3Pd2Au (PBE-GGA, relaxed)" sg=R-3c total_energy_ry_per_atom=-0.40216 pbc="T T T"
La -2.700 -0.217 8.297
La -1.162 -2.447 11.615
La 1.538 -2.230 8.297
La -1.538 2.230 11.615
La 1.162 2.447 8.297
La 2.700 0.217 11.615
Pd 0.000 0.000 2.976
Pd 0.000 0.000 6.980
Pd 0.000 0.000 12.932
Pd 0.000 0.000 16.936
Au 0.000 0.000 0.000
Au 0.000 0.000 9.956

The evaluated mass density for the records listed, in turn: 10.610 9.535 10.222 10.287 8.894 10.430 9.413 13.219 8.796 10.811 11.297 10.889 12.734 10.651 10.196 10.148 7.704 10.636 12.287 8.004 g cm⁻³.
The evaluated volume for the records listed, in turn: 69.22 77.02 180.86 236.50 174.18 157.78 264.16 118.41 129.81 100.63 355.34 216.15 122.93 273.36 225.44 332.11 336.77 69.05 100.77 171.48 Å³/f.u..